No. 1
Compound: K2ReRh
Source: the Alexandria database
Functional: PBE
Structure: relaxed

abc: 7.0002 7.0002 7.0002
angles: 90.00 90.00 90.00
Fractional positions:
K  0.0000  0.0000  0.0000
K  0.0000  0.5000  0.5000
K  0.2500  0.2500  0.2500
K  0.2500  0.7500  0.7500
K  0.5000  0.0000  0.5000
K  0.5000  0.5000  0.0000
K  0.7500  0.2500  0.7500
K  0.7500  0.7500  0.2500
Re  0.0000  0.0000  0.5000
Re  0.0000  0.5000  0.0000
Re  0.5000  0.0000  0.0000
Re  0.5000  0.5000  0.5000
Rh  0.2500  0.2500  0.7500
Rh  0.2500  0.7500  0.2500
Rh  0.7500  0.2500  0.2500
Rh  0.7500  0.7500  0.7500

Properties
Its formation energy from the elements is 6.4 eV per formula unit.

=====

No. 2
Compound: K2ReRh
Source: the Alexandria database
Functional: PBE
Structure: relaxed

abc: 2.8495 2.8495 34.5154
angles: 90.00 90.00 120.00
Fractional positions:
K  0.0000  0.0000  0.2466
K  0.0000  0.0000  0.7534
K  0.3333  0.6667  0.4201
K  0.3333  0.6667  0.9132
K  0.6667  0.3333  0.0868
K  0.6667  0.3333  0.5799
Re  0.0000  0.0000  0.0000
Re  0.3333  0.6667  0.6667
Re  0.6667  0.3333  0.3333
Rh  0.0000  0.0000  0.5000
Rh  0.3333  0.6667  0.1667
Rh  0.6667  0.3333  0.8333

Properties
Its formation energy from the elements is 4.6 eV per formula unit.

=====

No. 3
Compound: K2ReRh
Source: the Alexandria database
Functional: PBE
Structure: relaxed

abc: 2.8289 3.9849 10.1819
angles: 90.00 90.00 90.00
Fractional positions:
K  0.0000  0.0000  0.0000
K  0.5000  0.5000  0.4230
Re  0.0000  0.0000  0.6737
Rh  0.5000  0.5000  0.7562

Properties
Its formation energy from the elements is 2.5 eV per formula unit.

=====

No. 4
Compound: KReRh2
Source: the Alexandria database
Functional: PBE
Structure: relaxed

abc: 6.4629 6.4629 6.4629
angles: 90.00 90.00 90.00
Fractional positions:
K  0.0000  0.0000  0.0000
K  0.0000  0.5000  0.5000
K  0.5000  0.0000  0.5000
K  0.5000  0.5000  0.0000
Re  0.0000  0.0000  0.5000
Re  0.0000  0.5000  0.0000
Re  0.5000  0.0000  0.0000
Re  0.5000  0.5000  0.5000
Rh  0.2500  0.2500  0.2500
Rh  0.2500  0.2500  0.7500
Rh  0.2500  0.7500  0.2500
Rh  0.2500  0.7500  0.7500
Rh  0.7500  0.2500  0.2500
Rh  0.7500  0.2500  0.7500
Rh  0.7500  0.7500  0.2500
Rh  0.7500  0.7500  0.7500

Properties
Its formation energy from the elements is 4.5 eV per formula unit.

=====

No. 5
Compound: K2ReRh
Source: the Alexandria database
Functional: PBE
Structure: relaxed

abc: 3.8286 3.8286 5.6852
angles: 90.00 90.00 90.00
Fractional positions:
K  0.0000  0.5000  0.0000
K  0.5000  0.0000  0.0000
Re  0.0000  0.0000  0.5000
Rh  0.5000  0.5000  0.5000

Properties
Its formation energy from the elements is 5.1 eV per formula unit.

=====

No. 6
Compound: KReRh2
Source: the Alexandria database
Functional: PBE
Structure: relaxed

abc: 2.7416 4.8721 10.5831
angles: 90.00 90.00 90.00
Fractional positions:
K  0.0000  0.0000  0.0000
K  0.5000  0.5000  0.5000
Re  0.0000  0.5000  0.7815
Re  0.5000  0.0000  0.2815
Rh  0.0000  0.0000  0.4840
Rh  0.0000  0.5000  0.2170
Rh  0.5000  0.0000  0.7170
Rh  0.5000  0.5000  0.9840

Properties
Its formation energy from the elements is 3.1 eV per formula unit.

=====

Q: Which of these has the highest formation energy from the elements?
A: number 1